# Pa5As5S2 (GGA-PBE, optimized geometry)
# **Magnetization**: 0.0009 μB per atom
# **E_form (uncorrected)**: -1.065 eV per atom
data_Pa5As5S2
_chemical_formula_sum 'Pa10 As10 S4'
_space_group_name_H-M_alt 'C 1 2/m 1'
_space_group_IT_number 12
_space_group_name_Hall '-C 2y'
_cell_length_a 13.3188
_cell_length_b 4.0169
_cell_length_c 11.5346
_cell_angle_alpha 90.00
_cell_angle_beta 110.78
_cell_angle_gamma 90.00
loop_
_atom_site_label
_atom_site_type_symbol
_atom_site_fract_x
_atom_site_fract_y
_atom_site_fract_z
Pa1 Pa 0.0000 0.0000 0.0000
Pa2 Pa 0.1185 0.0000 0.4260
Pa3 Pa 0.1851 0.5000 0.7841
As1 As 0.0000 0.5000 0.5000
As2 As 0.1646 0.5000 0.0501
As3 As 0.2165 0.5000 0.3278
S1 S 0.0467 0.0000 0.7911

# K2AcCdF8 (GGA-PBE, optimized geometry)
# **Magnetization**: 0.1002 μB per atom
# **E_form (uncorrected)**: -2.854 eV per atom
data_K2AcCdF8
_chemical_formula_sum 'K4 Ac2 Cd2 F16'
_space_group_name_H-M_alt 'I -4 m 2'
_space_group_IT_number 119
_space_group_name_Hall 'I -4 -2'
_cell_length_a 6.0694
_cell_length_b 6.0694
_cell_length_c 11.4249
_cell_angle_alpha 90.00
_cell_angle_beta 90.00
_cell_angle_gamma 90.00
loop_
_atom_site_label
_atom_site_type_symbol
_atom_site_fract_x
_atom_site_fract_y
_atom_site_fract_z
K1 K 0.0000 0.0000 0.0000
K2 K 0.0000 0.5000 0.2500
Ac1 Ac 0.0000 0.0000 0.5000
Cd1 Cd 0.0000 0.5000 0.7500
F1 F 0.2153 0.2592 0.6280

# Ba2TcTe (GGA-PBE, optimized geometry)
# **Magnetization**: 0.7524 μB per atom
# **Excess energy over the best structure of this formula in the dataset**: 147.4 meV/atom
# **E_form (uncorrected)**: 0.026 eV per atom
data_Ba2TcTe
_chemical_formula_sum 'Ba2 Tc1 Te1'
_space_group_name_H-M_alt 'P 4/m m m'
_space_group_IT_number 123
_space_group_name_Hall '-P 4 2'
_cell_length_a 5.8511
_cell_length_b 5.8511
_cell_length_c 4.1196
_cell_angle_alpha 90.00
_cell_angle_beta 90.00
_cell_angle_gamma 90.00
loop_
_atom_site_label
_atom_site_type_symbol
_atom_site_fract_x
_atom_site_fract_y
_atom_site_fract_z
Ba1 Ba 0.0000 0.5000 0.0000
Tc1 Tc 0.0000 0.0000 0.5000
Te1 Te 0.5000 0.5000 0.5000

# MnCu2Sn (GGA-PBE, optimized geometry)
# **Magnetization**: 1.0212 μB per atom
# **DFT formation energy**: 0.13 eV/atom
data_MnCu2Sn
_chemical_formula_sum 'Mn1 Cu2 Sn1'
_space_group_name_H-M_alt 'P 4/m m m'
_space_group_IT_number 123
_space_group_name_Hall '-P 4 2'
_cell_length_a 3.2660
_cell_length_b 3.2660
_cell_length_c 5.9045
_cell_angle_alpha 90.00
_cell_angle_beta 90.00
_cell_angle_gamma 90.00
loop_
_atom_site_label
_atom_site_type_symbol
_atom_site_fract_x
_atom_site_fract_y
_atom_site_fract_z
Mn1 Mn 0.0000 0.0000 0.0000
Cu1 Cu 0.5000 0.5000 0.2161
Sn1 Sn 0.0000 0.0000 0.5000